(1)
# PBEsol MoPt, relaxed
# formation enthalpy at 0 K = -0.28 eV/atom
# SG = No. 8
# theoretical density = 16.185 g cm⁻³
# total magnetic moment = 0.0 μB/cell
data_MoPt
_symmetry_space_group_name_H-M 'P 1'
_symmetry_Int_Tables_number 1
_cell_length_a 2.708
_cell_length_b 5.301
_cell_length_c 6.661
_cell_angle_alpha 103.86
_cell_angle_beta 90.00
_cell_angle_gamma 104.80
loop_
_symmetry_equiv_pos_as_xyz
'x,y,z'
loop_
_atom_site_label
_atom_site_fract_x
_atom_site_fract_y
_atom_site_fract_z
_atom_site_occupancy
Mo1 0.005 0.011 0.997 1
Mo2 0.390 0.779 0.282 1
Mo3 0.328 0.657 0.664 1
Pt1 0.668 0.336 0.332 1
Pt2 0.047 0.095 0.608 1
Pt3 0.728 0.456 0.949 1

***

(2)
# PBEsol MoPt, relaxed
# formation enthalpy at 0 K = -0.24 eV/atom
# SG = No. 38
# theoretical density = 16.196 g cm⁻³
# total magnetic moment = 0.0 μB/cell
data_MoPt
_symmetry_space_group_name_H-M 'P 1'
_symmetry_Int_Tables_number 1
_cell_length_a 4.448
_cell_length_b 5.552
_cell_length_c 5.552
_cell_angle_alpha 119.49
_cell_angle_beta 90.00
_cell_angle_gamma 90.00
loop_
_symmetry_equiv_pos_as_xyz
'x,y,z'
loop_
_atom_site_label
_atom_site_fract_x
_atom_site_fract_y
_atom_site_fract_z
_atom_site_occupancy
Mo1 0.000 0.665 0.335 1
Mo2 0.500 0.334 0.666 1
Mo3 0.000 0.177 0.338 1
Mo4 0.000 0.662 0.823 1
Pt1 0.000 0.165 0.835 1
Pt2 0.500 0.835 0.671 1
Pt3 0.500 0.329 0.165 1
Pt4 0.500 0.832 0.168 1

***

(3)
# PBEsol MoPt5, relaxed
# formation enthalpy at 0 K = -0.15 eV/atom
# SG = No. 8
# theoretical density = 19.764 g cm⁻³
# relative energy among the computed polymorphs = 60 meV per atom
# total magnetic moment = 0.0 μB/cell
data_MoPt5
_symmetry_space_group_name_H-M 'P 1'
_symmetry_Int_Tables_number 1
_cell_length_a 2.770
_cell_length_b 5.346
_cell_length_c 6.536
_cell_angle_alpha 105.07
_cell_angle_beta 90.00
_cell_angle_gamma 105.01
loop_
_symmetry_equiv_pos_as_xyz
'x,y,z'
loop_
_atom_site_label
_atom_site_fract_x
_atom_site_fract_y
_atom_site_fract_z
_atom_site_occupancy
Mo1 0.002 0.003 0.001 1
Pt1 0.393 0.785 0.270 1
Pt2 0.665 0.330 0.329 1
Pt3 0.052 0.105 0.613 1
Pt4 0.337 0.675 0.678 1
Pt5 0.718 0.435 0.943 1

***

(4)
# PBEsol MoPt, relaxed
# formation enthalpy at 0 K = -0.26 eV/atom
# SG = No. 12
# theoretical density = 16.200 g cm⁻³
# total magnetic moment = 0.0 μB/cell
data_MoPt
_symmetry_space_group_name_H-M 'P 1'
_symmetry_Int_Tables_number 1
_cell_length_a 2.719
_cell_length_b 4.881
_cell_length_c 5.267
_cell_angle_alpha 116.91
_cell_angle_beta 104.96
_cell_angle_gamma 90.00
loop_
_symmetry_equiv_pos_as_xyz
'x,y,z'
loop_
_atom_site_label
_atom_site_fract_x
_atom_site_fract_y
_atom_site_fract_z
_atom_site_occupancy
Mo1 0.376 0.216 0.752 1
Mo2 0.624 0.784 0.248 1
Pt1 0.879 0.709 0.759 1
Pt2 0.121 0.291 0.241 1